(1)
Computed, not measured: Li3In3Hg5 after structural relaxation at the PBE level of DFT.

Geometry as POSCAR:
```
Li3In3Hg5
1.0
4.738 -1.171 -0.757
-1.186 7.062 -3.010
-1.141 0.890 7.681
Hg Li In
5 3 3
Cartesian
0.396 3.554 2.635
0.405 2.010 5.294
1.284 6.774 2.951
0.581 6.159 -1.074
2.281 2.033 0.634
2.310 3.968 -2.339
-0.376 1.076 1.572
2.521 1.354 3.407
3.148 5.243 0.248
-0.237 3.145 -0.760
-1.442 5.651 3.985
```

Results
calculated total energy	-1.583	eV/atom


(2)
Computed, not measured: Li2In3Hg3 after structural relaxation at the PBE level of DFT.

Geometry as POSCAR:
```
Li2In3Hg3
1.0
-3.735 -2.444 1.800
0.550 -0.178 -5.535
8.906 -12.662 1.294
Hg In Li
6 6 4
Cartesian
7.417 -12.992 -2.246
-1.696 -2.292 -0.196
3.973 -8.095 -2.746
1.749 -7.189 0.304
4.589 -10.956 1.085
1.132 -4.328 -3.526
0.485 -7.475 -2.707
-0.206 -4.987 -0.763
5.236 -7.809 0.265
7.830 -11.497 0.642
-2.108 -3.787 -3.083
5.927 -10.297 -1.678
2.844 -9.573 -0.659
0.271 -2.007 -2.161
2.877 -5.711 -1.783
5.450 -13.277 -0.280
```

Results
calculated total energy	-1.753	eV/atom


(3)
Computed, not measured: Li11In4Hg9 after structural relaxation at the PBE level of DFT.

Geometry as POSCAR:
```
Li11In4Hg9
1.0
3.306 0.000 0.000
0.000 11.456 -4.108
0.000 0.725 12.149
Li In Hg
11 4 9
Cartesian
0.000 4.605 6.271
0.000 0.000 0.000
0.000 0.863 4.698
0.000 7.577 1.770
0.000 4.659 -1.052
0.000 9.480 -1.114
0.000 11.318 3.343
0.000 7.522 9.094
0.000 9.693 6.398
0.000 2.701 9.155
0.000 2.489 1.643
1.653 7.255 6.711
1.653 3.160 4.007
1.653 9.022 4.034
1.653 4.927 1.331
1.653 10.030 1.161
1.653 9.857 8.691
1.653 5.009 8.767
1.653 11.865 5.649
1.653 2.152 6.881
1.653 0.317 2.393
1.653 2.325 -0.649
1.653 6.091 4.021
1.653 7.173 -0.725
```

Results
calculated total energy	-1.754	eV/atom


(4)
Computed, not measured: LiIn2Hg2 after structural relaxation at the PBE level of DFT.

Geometry as POSCAR:
```
LiIn2Hg2
1.0
-1.643 3.611 -4.637
-1.199 -5.944 -0.188
-5.050 4.409 5.223
In Li Hg
4 2 4
Cartesian
-3.850 -2.194 2.327
-5.474 4.073 3.767
-2.418 -1.996 -3.370
-4.042 4.271 -1.930
-1.836 2.363 -0.313
-4.857 5.658 0.898
-4.674 2.414 0.564
-5.316 0.928 3.650
-3.218 -0.337 -0.166
-2.576 1.148 -3.253
```

Results
energy relative to the lowest polymorph listed for this composition	0.000	eV/atom
calculated total energy	-1.716	eV/atom


(5)
Computed, not measured: LiIn2Hg8 after structural relaxation at the PBE level of DFT.

Geometry as POSCAR:
```
LiIn2Hg8
1.0
-3.288 -3.666 1.641
4.719 -3.458 1.729
1.315 5.667 7.084
Li Hg In
1 8 2
Cartesian
-1.644 -1.833 0.821
1.595 -0.886 9.427
1.438 0.598 4.216
0.951 -3.130 3.124
1.795 1.672 7.331
1.309 -2.056 6.239
-1.255 -0.954 3.566
1.151 -0.573 1.028
4.001 -0.505 6.889
3.661 -1.611 3.736
-0.915 0.153 6.719
```

Results
energy relative to the lowest polymorph listed for this composition	0.005	eV/atom
calculated total energy	-0.951	eV/atom


(6)
Computed, not measured: LiIn16Hg12 after structural relaxation at the PBE level of DFT.

Geometry as POSCAR:
```
LiIn16Hg12
1.0
-6.404 -6.471 -4.150
8.434 -5.067 -1.817
-2.283 5.194 11.390
Hg In Li
12 16 1
Cartesian
2.663 -1.074 6.917
-0.721 -2.831 6.292
-3.017 0.708 8.535
6.299 -4.255 1.222
-4.397 -1.742 5.807
-1.448 -5.282 2.516
5.644 -6.251 -1.367
0.094 1.002 9.024
0.766 -8.190 0.060
1.556 -4.998 2.988
-5.481 -5.369 -0.631
-3.716 -7.136 -2.839
1.246 -1.969 3.927
-2.518 -4.069 -0.373
3.304 -6.632 0.924
3.213 -3.527 0.528
-0.339 -5.827 5.665
-4.595 -4.610 2.296
-1.999 -2.276 3.417
0.107 -2.656 0.916
-1.773 3.603 9.106
4.441 -3.755 3.717
2.320 -4.019 6.215
-3.323 -4.553 5.328
-0.968 0.164 6.054
-0.558 -7.631 -2.862
-2.155 -7.149 0.066
2.790 -7.314 -2.336
0.560 -5.388 -0.316
```

Results
calculated total energy	-1.702	eV/atom


Calculated values (kJ/mol of atoms) of E_form for the records, taken in order: -17, -13, -30, -11, -6, 0.